Density functional theory data (GGA-PBE) for an optimized crystal structure of InHgOs2.

Lattice parameters (Å, degrees): 4.9800 4.9800 2.9656 90.00 90.00 109.49
Element x y z (fractional)
In  0.0000  0.0000  0.0000
Hg  0.5000  0.5000  0.0000
Os  0.0000  0.5000  0.5000
Os  0.5000  0.0000  0.5000

Its energy above the most stable polymorph in this dataset is 0.613 eV/atom. Its formation energy is 953 meV per atom. The crystal system is orthorhombic.

Density functional theory data (GGA-PBE) for an optimized crystal structure of BAsCSe2.

Lattice parameters (Å, degrees): 4.4499 4.4499 4.2244 90.00 90.00 90.00
Element x y z (fractional)
B  0.0000  0.0000  0.0000
As  0.5000  0.5000  0.0000
C  0.5000  0.5000  0.5000
Se  0.0000  0.5000  0.5000
Se  0.5000  0.0000  0.5000

For the formation energy without anion corrections, the calculation gives 1.817 eV per atom. Its energy above the most stable polymorph in this dataset is 0.000 eV/atom. The crystal system is tetragonal.

Density functional theory data (GGA-PBE) for an optimized crystal structure of FeRhSe2.

Lattice parameters (Å, degrees): 5.4761 5.4761 5.4761 146.76 133.58 58.29
Element x y z (fractional)
Fe  0.0000  0.0000  0.0000
Rh  0.2893  0.7893  0.5000
Se  0.5104  0.5104  0.0000
Se  0.7912  0.2912  0.5000

For the formation energy without anion corrections, the calculation gives 0.192 eV per atom. The crystal system is orthorhombic.

Density functional theory data (GGA-PBE) for an optimized crystal structure of RbAlBiO4.

Lattice parameters (Å, degrees): 5.8108 5.9984 7.7773 90.00 110.01 90.00
Element x y z (fractional)
Rb  0.1845  0.2500  0.4420
Rb  0.8155  0.7500  0.5580
Al  0.2378  0.7500  0.1487
Al  0.7622  0.2500  0.8513
Bi  0.2930  0.2500  0.9700
Bi  0.7070  0.7500  0.0300
O  0.0131  0.7500  0.9276
O  0.0475  0.7500  0.2863
O  0.4562  0.5277  0.1708
O  0.4562  0.9723  0.1708
O  0.5438  0.0277  0.8292
O  0.5438  0.4723  0.8292
O  0.9525  0.2500  0.7137
O  0.9869  0.2500  0.0724

For the formation energy without anion corrections, the calculation gives -1.745 eV per atom. The crystal system is monoclinic.

Density functional theory data (GGA-PBE) for an optimized crystal structure of SiPHCl2.

Lattice parameters (Å, degrees): 4.9932 4.9932 3.2909 90.00 90.00 90.00
Element x y z (fractional)
Si  0.0000  0.0000  0.0000
P  0.5000  0.5000  0.0000
H  0.5000  0.5000  0.5000
Cl  0.0000  0.5000  0.5000
Cl  0.5000  0.0000  0.5000

Its energy above the most stable polymorph in this dataset is 0.059 eV/atom. The crystal system is tetragonal.

Density functional theory data (GGA-PBE) for an optimized crystal structure of Ti2GeW.

Lattice parameters (Å, degrees): 8.4557 8.4557 8.4557 20.87 20.87 20.87
Element x y z (fractional)
Ti  0.2474  0.2474  0.2474
Ti  0.7526  0.7526  0.7526
Ge  0.0000  0.0000  0.0000
W  0.5000  0.5000  0.5000

Its formation energy is -68 meV per atom. The crystal system is trigonal.

Density functional theory data (GGA-PBE) for an optimized crystal structure of Pr6TlOs2Br3.

Lattice parameters (Å, degrees): 10.5418 10.5418 9.3410 106.61 106.61 22.69
Element x y z (fractional)
Pr  0.0350  0.0350  0.2732
Pr  0.3163  0.3163  0.4253
Pr  0.3342  0.3342  0.8613
Pr  0.6658  0.6658  0.1387
Pr  0.6837  0.6837  0.5747
Pr  0.9650  0.9650  0.7268
Tl  0.5000  0.5000  0.0000
Os  0.1713  0.1713  0.3506
Os  0.8287  0.8287  0.6494
Br  0.1734  0.1734  0.8486
Br  0.5000  0.5000  0.5000
Br  0.8266  0.8266  0.1514

For the formation energy without anion corrections, the calculation gives -0.714 eV per atom. The crystal system is monoclinic.

Density functional theory data (GGA-PBE) for an optimized crystal structure of In3SnCl4.

Lattice parameters (Å, degrees): 9.0547 9.1114 6.1450 90.00 90.00 90.00
Element x y z (fractional)
In  0.0000  0.1240  0.0000
In  0.2210  0.8809  0.1915
In  0.2790  0.1191  0.6915
In  0.5000  0.8760  0.5000
In  0.7210  0.1191  0.6915
In  0.7790  0.8809  0.1915
Sn  0.0000  0.6133  0.7617
Sn  0.5000  0.3867  0.2617
Cl  0.0000  0.6464  0.1911
Cl  0.0000  0.8882  0.6293
Cl  0.2070  0.3088  0.3428
Cl  0.2930  0.6912  0.8428
Cl  0.5000  0.1118  0.1293
Cl  0.5000  0.3536  0.6911
Cl  0.7070  0.6912  0.8428
Cl  0.7930  0.3088  0.3428

For the formation energy without anion corrections, the calculation gives -0.674 eV per atom. The crystal system is orthorhombic.

Density functional theory data (GGA-PBE) for an optimized crystal structure of TmSc2Tc.

Lattice parameters (Å, degrees): 3.3125 3.3125 8.1872 90.00 90.00 90.00
Element x y z (fractional)
Tm  0.0000  0.0000  0.0000
Sc  0.5000  0.5000  0.3158
Sc  0.5000  0.5000  0.6842
Tc  0.0000  0.0000  0.5000

Its energy above the most stable polymorph in this dataset is 0.079 eV/atom. Its formation energy is -97 meV per atom. The crystal system is tetragonal.

Density functional theory data (GGA-PBE) for an optimized crystal structure of MgInSi2.

Lattice parameters (Å, degrees): 10.5526 10.5526 10.5526 16.27 16.27 16.27
Element x y z (fractional)
Mg  0.0000  0.0000  0.0000
In  0.5000  0.5000  0.5000
Si  0.2580  0.2580  0.2580
Si  0.7420  0.7420  0.7420

For the formation energy without anion corrections, the calculation gives 0.413 eV per atom. Its energy above the most stable polymorph in this dataset is 0.231 eV/atom. The crystal system is trigonal.

Density functional theory data (GGA-PBE) for an optimized crystal structure of Hg2SbI.

Lattice parameters (Å, degrees): 9.7062 7.8000 10.0432 90.00 112.38 90.00
Element x y z (fractional)
Hg  0.0058  0.0039  0.2523
Hg  0.0058  0.4961  0.7523
Hg  0.3459  0.2308  0.7374
Hg  0.3459  0.2692  0.2374
Hg  0.6541  0.7308  0.7626
Hg  0.6541  0.7692  0.2626
Hg  0.9942  0.5039  0.2477
Hg  0.9942  0.9961  0.7477
Sb  0.0498  0.2450  0.5776
Sb  0.0498  0.2550  0.0776
Sb  0.9502  0.7450  0.9224
Sb  0.9502  0.7550  0.4224
I  0.3538  0.7122  0.6117
I  0.3538  0.7878  0.1117
I  0.6462  0.2122  0.8883
I  0.6462  0.2878  0.3883

For the formation energy without anion corrections, the calculation gives -0.110 eV per atom. Its energy above the most stable polymorph in this dataset is 0.000 eV/atom. The crystal system is monoclinic.

Density functional theory data (GGA-PBE) for an optimized crystal structure of BaMg2Tl.

Lattice parameters (Å, degrees): 10.8627 10.8627 10.8627 150.23 150.23 42.61
Element x y z (fractional)
Ba  0.0000  0.0000  0.0000
Ba  0.7500  0.2500  0.5000
Mg  0.3301  0.6250  0.2051
Mg  0.3750  0.5801  0.7051
Mg  0.4199  0.1250  0.7949
Mg  0.8750  0.6699  0.2949
Tl  0.2500  0.7500  0.5000
Tl  0.5000  0.5000  0.0000

Its energy above the most stable polymorph in this dataset is 0.244 eV/atom. Its formation energy is 58 meV per atom. The crystal system is tetragonal.

Number 1: mass density 16.7 Mg/m³. Number 2: mass density 5.1 Mg/m³. Number 3: mass density 8.1 Mg/m³. Number 4: mass density 5.0 Mg/m³. Number 5: mass density 2.7 Mg/m³. Number 6: mass density 8.7 Mg/m³. Number 7: mass density 7.2 Mg/m³. Number 8: mass density 4.0 Mg/m³. Number 9: mass density 6.6 Mg/m³. Number 10: mass density 4.0 Mg/m³. Number 11: mass density 6.1 Mg/m³. Number 12: mass density 4.1 Mg/m³.